# TcPtO2F SCAN PBEsol geometry
data_TcPtO2F
_chemical_formula_sum 'Tc1 Pt1 O2 F1'
_cell_length_a 3.7550
_cell_length_b 3.7550
_cell_length_c 4.2129
_cell_angle_alpha 90.00
_cell_angle_beta 90.00
_cell_angle_gamma 90.00
_space_group_name_H-M_alt 'P 4/m m m'
_space_group_IT_number 123
_space_group_name_Hall '-P 4 2'
loop_
_atom_site_label
_atom_site_type_symbol
_atom_site_fract_x
_atom_site_fract_y
_atom_site_fract_z
_atom_site_occupancy
Tc1 Tc 0.0000 0.0000 0.0000 1
Pt1 Pt 0.5000 0.5000 0.5000 1
O1 O 0.0000 0.5000 0.0000 1
F1 F 0.0000 0.0000 0.5000 1
# ρ (Mg/m³): 9.619
# Uncorrected energy (eV for the cell shown): -123.474
# Formation energy (no corrections) (meV/atom): -444

# TcPtOF2 SCAN PBEsol geometry
data_TcPtOF2
_chemical_formula_sum 'Tc1 Pt1 O1 F2'
_cell_length_a 4.3848
_cell_length_b 4.3848
_cell_length_c 3.7866
_cell_angle_alpha 90.00
_cell_angle_beta 90.00
_cell_angle_gamma 90.00
_space_group_name_H-M_alt 'P 4/m m m'
_space_group_IT_number 123
_space_group_name_Hall '-P 4 2'
loop_
_atom_site_label
_atom_site_type_symbol
_atom_site_fract_x
_atom_site_fract_y
_atom_site_fract_z
_atom_site_occupancy
Tc1 Tc 0.0000 0.0000 0.0000 1
Pt1 Pt 0.5000 0.5000 0.5000 1
O1 O 0.5000 0.5000 0.0000 1
F1 F 0.0000 0.5000 0.5000 1
# ρ (Mg/m³): 7.916
# Uncorrected energy (eV for the cell shown): -118.814
# Formation energy (no corrections) (meV/atom): -50

# PuOF SCAN PBEsol geometry
data_PuOF
_chemical_formula_sum 'Pu2 O2 F2'
_cell_length_a 3.8996
_cell_length_b 3.8996
_cell_length_c 5.6313
_cell_angle_alpha 90.00
_cell_angle_beta 90.00
_cell_angle_gamma 90.00
_space_group_name_H-M_alt 'P 4/n m m'
_space_group_IT_number 129
loop_
_space_group_symop_operation_xyz
'x,y,z'
'-x,-y,-z'
'-y+1/2,x,z'
'y+1/2,-x,-z'
'-x+1/2,-y+1/2,z'
'x+1/2,y+1/2,-z'
'y,-x+1/2,z'
'-y,x+1/2,-z'
'x+1/2,-y,-z'
'-x+1/2,y,z'
'-y,-x,-z'
'y,x,z'
'-x,y+1/2,-z'
'x,-y+1/2,z'
'y+1/2,x+1/2,-z'
'-y+1/2,-x+1/2,z'
loop_
_atom_site_label
_atom_site_type_symbol
_atom_site_fract_x
_atom_site_fract_y
_atom_site_fract_z
_atom_site_occupancy
Pu1 Pu 0.2500 0.2500 0.2115 1
O1 O 0.2500 0.7500 0.0000 1
F1 F 0.2500 0.7500 0.5000 1
# ρ (Mg/m³): 10.820
# Uncorrected energy (eV for the cell shown): -260.342
# Formation energy (no corrections) (meV/atom): -3420

# Rb2O2F SCAN PBEsol geometry
data_Rb2O2F
_chemical_formula_sum 'Rb4 O4 F2'
_cell_length_a 7.4104
_cell_length_b 7.4104
_cell_length_c 3.9199
_cell_angle_alpha 90.00
_cell_angle_beta 90.00
_cell_angle_gamma 90.00
_space_group_name_H-M_alt 'P 4/m b m'
_space_group_IT_number 127
_space_group_name_Hall '-P 4 2ab'
loop_
_atom_site_label
_atom_site_type_symbol
_atom_site_fract_x
_atom_site_fract_y
_atom_site_fract_z
_atom_site_occupancy
Rb1 Rb 0.2079 0.2921 0.0000 1
O1 O 0.0643 0.5643 0.5000 1
F1 F 0.0000 0.0000 0.0000 1
# ρ (Mg/m³): 3.424
# Uncorrected energy (eV for the cell shown): -131.287
# Formation energy (no corrections) (meV/atom): -1632

# RbSO2F SCAN PBEsol geometry
data_RbSO2F
_chemical_formula_sum 'Rb2 S2 O4 F2'
_cell_length_a 4.7161
_cell_length_b 5.9219
_cell_length_c 7.0898
_cell_angle_alpha 90.00
_cell_angle_beta 106.49
_cell_angle_gamma 90.00
_space_group_name_H-M_alt 'P 1 21/m 1'
_space_group_IT_number 11
loop_
_space_group_symop_operation_xyz
'x,y,z'
'-x,-y,-z'
'-x,y+1/2,-z'
'x,-y+1/2,z'
loop_
_atom_site_label
_atom_site_type_symbol
_atom_site_fract_x
_atom_site_fract_y
_atom_site_fract_z
_atom_site_occupancy
Rb1 Rb 0.1600 0.2500 0.2882 1
S1 S 0.4004 0.2500 0.8237 1
O1 O 0.3346 0.0443 0.7013 1
F1 F 0.2034 0.7500 0.1224 1
# ρ (Mg/m³): 2.948
# Uncorrected energy (eV for the cell shown): -112.400
# Formation energy (no corrections) (meV/atom): -1966

# RbSeO2F SCAN PBEsol geometry
data_RbSeO2F
_chemical_formula_sum 'Rb1 Se1 O2 F1'
_cell_length_a 3.8999
_cell_length_b 3.8999
_cell_length_c 4.5996
_cell_angle_alpha 90.00
_cell_angle_beta 90.00
_cell_angle_gamma 90.00
_space_group_name_H-M_alt 'P 4/m m m'
_space_group_IT_number 123
_space_group_name_Hall '-P 4 2'
loop_
_atom_site_label
_atom_site_type_symbol
_atom_site_fract_x
_atom_site_fract_y
_atom_site_fract_z
_atom_site_occupancy
Rb1 Rb 0.0000 0.0000 0.0000 1
Se1 Se 0.5000 0.5000 0.5000 1
O1 O 0.0000 0.5000 0.5000 1
F1 F 0.5000 0.5000 0.0000 1
# ρ (Mg/m³): 5.113
# Uncorrected energy (eV for the cell shown): -63.340
# Formation energy (no corrections) (meV/atom): -1304

# RbTaOF2 SCAN PBEsol geometry
data_RbTaOF2
_chemical_formula_sum 'Rb1 Ta1 O1 F2'
_cell_length_a 4.3331
_cell_length_b 4.3331
_cell_length_c 3.9734
_cell_angle_alpha 90.00
_cell_angle_beta 90.00
_cell_angle_gamma 90.00
_space_group_name_H-M_alt 'P 4/m m m'
_space_group_IT_number 123
_space_group_name_Hall '-P 4 2'
loop_
_atom_site_label
_atom_site_type_symbol
_atom_site_fract_x
_atom_site_fract_y
_atom_site_fract_z
_atom_site_occupancy
Rb1 Rb 0.0000 0.0000 0.0000 1
Ta1 Ta 0.5000 0.5000 0.5000 1
O1 O 0.5000 0.5000 0.0000 1
F1 F 0.0000 0.5000 0.5000 1
# ρ (Mg/m³): 7.132
# Uncorrected energy (eV for the cell shown): -112.640
# Formation energy (no corrections) (meV/atom): -2401

# RbVOF3 SCAN PBEsol geometry
data_RbVOF3
_chemical_formula_sum 'Rb4 V4 O4 F12'
_cell_length_a 6.7121
_cell_length_b 14.7911
_cell_length_c 3.8613
_cell_angle_alpha 90.00
_cell_angle_beta 90.00
_cell_angle_gamma 90.00
_space_group_name_H-M_alt 'P b a m'
_space_group_IT_number 55
loop_
_space_group_symop_operation_xyz
'x,y,z'
'-x,-y,-z'
'-x,-y,z'
'x,y,-z'
'x+1/2,-y+1/2,-z'
'-x+1/2,y+1/2,z'
'-x+1/2,y+1/2,-z'
'x+1/2,-y+1/2,z'
loop_
_atom_site_label
_atom_site_type_symbol
_atom_site_fract_x
_atom_site_fract_y
_atom_site_fract_z
_atom_site_occupancy
Rb1 Rb 0.1902 0.1669 0.0000 1
V1 V 0.1560 0.4123 0.5000 1
O1 O 0.1096 0.8905 0.5000 1
F1 F 0.0318 0.2979 0.5000 1
F2 F 0.1092 0.4134 0.0000 1
F3 F 0.1566 0.5436 0.5000 1
# ρ (Mg/m³): 3.628
# Uncorrected energy (eV for the cell shown): -293.350
# Formation energy (no corrections) (meV/atom): -3043